RbScBi3 | PBE-GGA | relaxed

Output
- Excess energy over the best structure of this formula in the dataset: 0.00 kcal/mol of atoms
- Mass density: 6.65 Mg/m³
- Energy of formation from the pure elements: -208 meV/atom
- E: -3.996 eV/atom

a b c (Å): 5.740 5.740 5.740
angles (deg): 90.00 90.00 90.00
Space group Pm-3m (No. 221)
Asymmetric unit:
Rb1 0.000 0.000 0.000
Sc1 0.500 0.500 0.500
Bi1 0.000 0.500 0.500